[1]
Below is a relaxed Dy6HoTm2Mg crystal, with properties calculated at the PBE level.

Cell: 9.163 15.565 8.673 Å, 90.00 91.56 90.00°
Space group C2/c (No. 15)
Symmetry-distinct sites (fractional):
1 Dy 0.047 0.158 0.446 x8
2 Dy 0.093 0.362 0.582 x8
3 Dy 0.247 0.289 0.196 x8
4 Ho 0.000 0.038 0.750 x4
5 Tm 0.234 0.453 0.945 x8
6 Mg 0.000 0.444 0.250 x4

formation enthalpy at 0 K: 123.4 meV per atom
VASP energy: -4.149 eV/atom

---

[2]
Below is a relaxed Dy2HoTm2Mg2 crystal, with properties calculated at the PBE level.

Cell: 5.3980 5.3980 23.7983 Å, 90.00 90.00 120.00°
Space group R-3m (No. 166, hexagonal axes)
Symmetry-distinct sites (fractional):
1 Dy 0.0000 0.0000 0.0732 x6
2 Ho 0.0000 0.0000 0.5000 x3
3 Tm 0.0000 0.0000 0.3459 x6
4 Mg 0.0000 0.0000 0.2114 x6

formation enthalpy at 0 K: -18.7 meV per atom
VASP energy: -3.721 eV/atom

---

[3]
Below is a relaxed DyHo2Tm2Mg5 crystal, with properties calculated at the PBE level.

Cell: 10.508 10.508 5.045 Å, 90.00 90.00 90.00°
Space group P4/mbm (No. 127)
Symmetry-distinct sites (fractional):
1 Dy 0.000 0.000 0.000 x2
2 Ho 0.178 0.322 0.000 x4
3 Tm 0.118 0.618 0.000 x4
4 Mg 0.000 0.500 0.500 x2
5 Mg 0.075 0.803 0.500 x8

formation enthalpy at 0 K: 82.7 meV per atom
VASP energy: -2.985 eV/atom

---

[4]
Below is a relaxed Dy6Ho2TmMg crystal, with properties calculated at the PBE level.

Cell: 9.893 19.380 6.548 Å, 90.00 99.46 90.00°
Space group C2/c (No. 15)
Symmetry-distinct sites (fractional):
1 Dy 0.062 0.145 0.032 x8
2 Dy 0.114 0.416 0.981 x8
3 Dy 0.176 0.260 0.721 x8
4 Ho 0.238 0.416 0.497 x8
5 Tm 0.000 0.008 0.750 x4
6 Mg 0.000 0.294 0.250 x4

formation enthalpy at 0 K: 113.5 meV per atom
VASP energy: -4.170 eV/atom

---

Q: The lowest formation enthalpy at 0 K belongs to which entry?
A: Dy2HoTm2Mg2